*A*
First-principles (PBE-GGA) data for a relaxed ScSn3Ge crystal, as listed in Alexandria via LeMat-Bulk.

Results
- total moment (μB/f.u.) = 0.00

a b c (Å): 5.2962 5.2962 5.2962
angles (deg): 90.00 90.00 90.00
With the nearest neighbours (Å) after each atom.
Fractional positions:
Sc: 0.0000 0.0000 0.0000  12 Sn 3.74
Sn: 0.0000 0.5000 0.5000  2 Ge 2.65
Sn: 0.5000 0.0000 0.5000  2 Ge 2.65
Sn: 0.5000 0.5000 0.0000  2 Ge 2.65
Ge: 0.5000 0.5000 0.5000  6 Sn 2.65

*B*
First-principles (PBE-GGA) data for a relaxed ScSn3Ge crystal, as listed in Alexandria via LeMat-Bulk.

Results
- total moment (μB/f.u.) = 0.00

a b c (Å): 5.4672 5.4672 5.4672
angles (deg): 90.00 90.00 90.00
With the nearest neighbours (Å) after each atom.
Fractional positions:
Sc: 0.0000 0.0000 0.0000  6 Sn 2.73
Sn: 0.0000 0.0000 0.5000  2 Sc 2.73
Sn: 0.0000 0.5000 0.0000  2 Sc 2.73
Sn: 0.5000 0.0000 0.0000  2 Sc 2.73
Ge: 0.5000 0.5000 0.5000  12 Sn 3.87

Stability check: which of them is most stable? *A*.